1.
# Zn2BiPt2 (PBE, relaxed)
# **ΔE to the lowest computed polymorph**: 3 meV per atom
# **Formation energy**: -0.32 eV/atom
# **Total magnetization**: 0.00 Bohr magnetons per cell
data_Zn2BiPt2
_chemical_formula_sum 'Zn4 Bi2 Pt4'
_cell_length_a 3.7678
_cell_length_b 3.7678
_cell_length_c 13.0092
_cell_angle_alpha 90.00
_cell_angle_beta 90.00
_cell_angle_gamma 90.00
_space_group_name_H-M_alt 'I 4/m m m'
_space_group_IT_number 139
_space_group_name_Hall '-I 4 2'
loop_
_atom_site_label
_atom_site_type_symbol
_atom_site_fract_x
_atom_site_fract_y
_atom_site_fract_z
Zn1 Zn 0.0000 0.5000 0.2500
Bi1 Bi 0.0000 0.0000 0.0000
Pt1 Pt 0.0000 0.0000 0.3906

2.
# KRbSr2 (PBE, relaxed)
# **ΔE to the lowest computed polymorph**: 0 meV per atom
# **Formation energy**: 0.07 eV/atom
# **Total magnetization**: 0.00 Bohr magnetons per cell
data_KRbSr2
_chemical_formula_sum 'K3 Rb3 Sr6'
_cell_length_a 4.4283
_cell_length_b 4.4283
_cell_length_c 45.9374
_cell_angle_alpha 90.00
_cell_angle_beta 90.00
_cell_angle_gamma 120.00
_space_group_name_H-M_alt 'R 3 m'
_space_group_IT_number 160
_space_group_name_Hall 'R 3 -2"'
loop_
_atom_site_label
_atom_site_type_symbol
_atom_site_fract_x
_atom_site_fract_y
_atom_site_fract_z
K1 K 0.0000 0.0000 0.0000
Rb1 Rb 0.0000 0.0000 0.7583
Sr1 Sr 0.0000 0.0000 0.1776
Sr2 Sr 0.0000 0.0000 0.5847

3.
# Li2Nd2DySn2 (PBE, relaxed)
# **Formation energy**: -0.46 eV/atom
# **Total magnetization**: 0.00 Bohr magnetons per cell
data_Li2Nd2DySn2
_chemical_formula_sum 'Li6 Nd6 Dy3 Sn6'
_cell_length_a 4.7988
_cell_length_b 4.7988
_cell_length_c 27.5077
_cell_angle_alpha 90.00
_cell_angle_beta 90.00
_cell_angle_gamma 120.00
_space_group_name_H-M_alt 'R -3 m'
_space_group_IT_number 166
_space_group_name_Hall '-R 3 2"'
loop_
_atom_site_label
_atom_site_type_symbol
_atom_site_fract_x
_atom_site_fract_y
_atom_site_fract_z
Li1 Li 0.0000 0.0000 0.1056
Nd1 Nd 0.0000 0.0000 0.3722
Dy1 Dy 0.0000 0.0000 0.5000
Sn1 Sn 0.0000 0.0000 0.2327

4.
# Li2PmNdAu4 (PBE, relaxed)
# **Formation energy**: -0.70 eV/atom
# **Total magnetization**: 0.00 Bohr magnetons per cell
data_Li2PmNdAu4
_chemical_formula_sum 'Li6 Pm3 Nd3 Au12'
_cell_length_a 4.6095
_cell_length_b 4.6095
_cell_length_c 28.2673
_cell_angle_alpha 90.00
_cell_angle_beta 90.00
_cell_angle_gamma 120.00
_space_group_name_H-M_alt 'R -3 m'
_space_group_IT_number 166
_space_group_name_Hall '-R 3 2"'
loop_
_atom_site_label
_atom_site_type_symbol
_atom_site_fract_x
_atom_site_fract_y
_atom_site_fract_z
Li1 Li 0.0000 0.0000 0.2493
Pm1 Pm 0.0000 0.0000 0.5000
Nd1 Nd 0.0000 0.0000 0.0000
Au1 Au 0.0000 0.0000 0.1101
Au2 Au 0.0000 0.0000 0.3911

5.
# PuZr2N3 (PBE, relaxed)
# **ΔE to the lowest computed polymorph**: 0 meV per atom
# **E_form (uncorrected)**: -1575 meV per atom
# **Total magnetization**: 9.28 Bohr magnetons per cell
data_PuZr2N3
_chemical_formula_sum 'Pu2 Zr4 N6'
_cell_length_a 3.3362
_cell_length_b 4.6780
_cell_length_c 10.0458
_cell_angle_alpha 90.00
_cell_angle_beta 90.00
_cell_angle_gamma 90.00
_space_group_name_H-M_alt 'I m m m'
_space_group_IT_number 71
_space_group_name_Hall '-I 2 2'
loop_
_atom_site_label
_atom_site_type_symbol
_atom_site_fract_x
_atom_site_fract_y
_atom_site_fract_z
Pu1 Pu 0.0000 0.0000 0.0000
Zr1 Zr 0.0000 0.0000 0.3308
N1 N 0.0000 0.5000 0.0000
N2 N 0.0000 0.5000 0.3281